Entry from the Alexandria database: AlPbICl2 after structural relaxation (PBE).

space group = No. 123
crystal system = tetragonal
volume = 27.73 Å³ per atom
density of states at the Fermi level = 0.05 states/eV/cell
raw formation energy = -0.680 eV per atom

The structure in POSCAR format:
```
AlPbICl2
1.0
-0.0416 4.7593 0.1006
-3.4600 -0.1369 5.0449
3.9262 -0.0226 2.6921
Pb I Al Cl
1 1 1 2
Direct
0.0000 0.5000 0.0000
0.5000 0.5000 0.5000
0.0000 0.0000 0.0000
0.0000 0.0000 0.5000
0.5000 0.0000 0.0000
```

=====

Entry from the Alexandria database: AlPbI2Cl after structural relaxation (PBE).

space group = No. 123
crystal system = tetragonal
volume = 31.90 Å³ per atom
density of states at the Fermi level = 2.09 states/eV/cell
raw formation energy = -0.340 eV per atom

The structure in POSCAR format:
```
AlPbI2Cl
1.0
-4.8310 -2.5918 1.8233
3.1630 -3.7407 3.0632
-0.1601 2.9437 3.7602
Pb I Al Cl
1 2 1 1
Direct
0.5000 0.5000 0.5000
0.0000 0.5000 0.0000
0.5000 0.0000 0.0000
0.0000 0.0000 0.0000
0.0000 0.0000 0.5000
```

=====

Entry from the Alexandria database: Rb2AlI6Cl after structural relaxation (PBE).

space group = No. 139
crystal system = tetragonal
volume = 44.80 Å³ per atom
density of states at the Fermi level = 0.00 states/eV/cell
raw formation energy = -0.767 eV per atom

The structure in POSCAR format:
```
Rb2AlI6Cl
1.0
-5.7198 -2.2895 6.3153
-1.4846 -7.6586 -4.1210
0.6711 -7.4098 4.0844
I Al Rb Cl
6 1 2 1
Direct
0.2294 0.2294 0.5412
0.7706 0.7706 0.4588
0.2848 0.2848 0.0000
0.7152 0.7152 0.0000
0.7152 0.2848 0.0000
0.2848 0.7152 0.0000
0.5000 0.5000 0.0000
0.7500 0.2500 0.5000
0.2500 0.7500 0.5000
0.0000 0.0000 0.0000
```

=====

Entry from the Alexandria database: AlReI2Cl after structural relaxation (PBE).

space group = No. 123
crystal system = tetragonal
volume = 40.74 Å³ per atom
density of states at the Fermi level = 1.85 states/eV/cell
raw formation energy = 1.430 eV per atom

The structure in POSCAR format:
```
AlReI2Cl
1.0
-2.0431 1.0339 6.3566
1.3509 -4.1074 1.1023
6.1066 2.4292 1.5676
I Re Al Cl
2 1 1 1
Direct
0.0000 0.0000 0.5000
0.5000 0.0000 0.0000
0.5000 0.5000 0.5000
0.0000 0.5000 0.0000
0.0000 0.0000 0.0000
```

=====

What is the formula in the third record?
Rb2AlI6Cl

=====

Which value of raw formation energy does entry 2 give?
-0.340 eV per atom

=====

Which value of raw formation energy does entry 4 give?
1.430 eV per atom